# 1
HfMg6TiO8: relaxed, GGA-PBE.

The structure in POSCAR format:
```
HfMg6TiO8
1.0
4.304 0.000 0.000
0.000 4.304 0.000
0.000 0.000 8.824
Hf Mg Ti O
1 6 1 8
Direct
0.000 0.000 0.000
0.000 0.000 0.500
0.000 0.500 0.258
0.000 0.500 0.742
0.500 0.000 0.258
0.500 0.000 0.742
0.500 0.500 0.500
0.500 0.500 0.000
0.000 0.000 0.258
0.000 0.000 0.742
0.000 0.500 0.000
0.000 0.500 0.500
0.500 0.000 0.000
0.500 0.000 0.500
0.500 0.500 0.261
0.500 0.500 0.739
```

## Properties
ΔE to the lowest computed polymorph: 0 meV/atom
total moment: 0.022 μB per atom
density of states at the Fermi level: 0.1320 states/eV/atom
V: 10.2 Å³/atom
formation energy without anion corrections: -2.462 eV per atom
DFT total energy: -6.655 eV/atom

# 2
HfMgTi2O: relaxed, GGA-PBE.

The structure in POSCAR format:
```
HfMgTi2O
1.0
4.183 0.000 0.000
0.000 4.183 0.000
0.000 0.000 4.500
Hf Mg Ti O
1 1 2 1
Direct
0.000 0.000 0.000
0.500 0.500 0.000
0.000 0.500 0.500
0.500 0.000 0.500
0.000 0.000 0.500
```

## Properties
total moment: 0.000 μB per atom
density of states at the Fermi level: 0.7281 states/eV/atom
V: 15.8 Å³/atom
formation energy without anion corrections: -0.956 eV per atom
DFT total energy: -7.415 eV/atom

# 3
HfMgTl2O: relaxed, GGA-PBE.

The structure in POSCAR format:
```
HfMgTl2O
1.0
5.735 0.000 0.000
0.000 5.735 0.000
0.000 0.000 3.506
Hf Mg Tl O
1 1 2 1
Direct
0.000 0.000 0.000
0.500 0.500 0.500
0.000 0.500 0.500
0.500 0.000 0.500
0.500 0.500 0.000
```

## Properties
total moment: 0.097 μB per atom
density of states at the Fermi level: 0.4747 states/eV/atom
V: 23.1 Å³/atom
formation energy without anion corrections: -0.108 eV per atom
DFT total energy: -4.356 eV/atom

# 4
HfMg2TlO6: relaxed, GGA-PBE.

The structure in POSCAR format:
```
HfMg2TlO6
1.0
2.697 1.557 4.856
-2.697 1.557 4.856
0.000 -3.114 4.856
Hf Mg Tl O
1 2 1 6
Direct
0.000 0.000 0.000
0.294 0.294 0.294
0.788 0.788 0.788
0.504 0.504 0.504
0.075 0.703 0.392
0.169 0.597 0.921
0.392 0.075 0.703
0.597 0.921 0.169
0.703 0.392 0.075
0.921 0.169 0.597
```

## Properties
total moment: 0.107 μB per atom
density of states at the Fermi level: 0.5635 states/eV/atom
V: 12.2 Å³/atom
formation energy without anion corrections: -2.174 eV per atom
DFT total energy: -6.700 eV/atom

# 5
HfMgTl2O6: relaxed, GGA-PBE.

The structure in POSCAR format:
```
HfMgTl2O6
1.0
2.782 1.606 4.880
-2.782 1.606 4.880
0.000 -3.212 4.880
Hf Mg Tl O
1 1 2 6
Direct
0.000 0.000 0.000
0.498 0.498 0.498
0.273 0.273 0.273
0.780 0.780 0.780
0.125 0.360 0.724
0.216 0.864 0.631
0.360 0.724 0.125
0.631 0.216 0.864
0.724 0.125 0.360
0.864 0.631 0.216
```

## Properties
total moment: 0.000 μB per atom
V: 13.1 Å³/atom
formation energy without anion corrections: -1.888 eV per atom
DFT total energy: -6.491 eV/atom

# 6
Tm2HfMgO6: relaxed, GGA-PBE.

The structure in POSCAR format:
```
Tm2HfMgO6
1.0
2.761 1.594 4.827
-2.761 1.594 4.827
0.000 -3.188 4.827
Tm Hf Mg O
2 1 1 6
Direct
0.000 0.000 0.000
0.499 0.499 0.499
0.285 0.285 0.285
0.783 0.783 0.783
0.083 0.663 0.409
0.169 0.572 0.920
0.409 0.083 0.663
0.572 0.920 0.169
0.663 0.409 0.083
0.920 0.169 0.572
```

## Properties
total moment: 0.000 μB per atom
density of states at the Fermi level: 0.0000 states/eV/atom
V: 12.7 Å³/atom
formation energy without anion corrections: -3.405 eV per atom
DFT total energy: -8.429 eV/atom